[1]
Computed, not measured: crystalline Ag2Br at its relaxed geometry at the GGA-PBE level of DFT.

abc: 6.3836 6.3836 7.9972
angles: 59.27 59.27 32.63
With the nearest neighbours (Å) after each atom.
Fractional coordinates of all 6 atoms:
Ag  0.2479  0.2479  0.7855  3 Br 2.77-2.88, 3 Ag 2.82-2.85
Ag  0.6459  0.6459  0.6251  5 Ag 2.82-2.88, 2 Br 2.92
Ag  0.7521  0.7521  0.2145  3 Br 2.77-2.88, 3 Ag 2.82-2.85
Ag  0.3541  0.3541  0.3749  5 Ag 2.82-2.88, 2 Br 2.92
Br  0.9232  0.9232  0.8089  5 Ag 2.77-2.92
Br  0.0768  0.0768  0.1911  5 Ag 2.77-2.92

## Properties
Total moment   0.00 μB per formula unit
Calculated density   6.6 Mg/m³
Density of states at the Fermi level   1.302 states/eV per cell
E_form (uncorrected)   -3.1 kJ per mole of atoms


[2]
Computed, not measured: crystalline Mg2CrRh at its relaxed geometry at the GGA-PBE level of DFT.

abc: 4.5279 4.5279 4.5279
angles: 60.00 60.00 60.00
With the nearest neighbours (Å) after each atom.
Fractional coordinates of all 4 atoms:
Cr  0.0000  0.0000  0.0000  8 Mg 2.77
Mg  0.2500  0.2500  0.2500  4 Cr 2.77, 4 Rh 2.77
Mg  0.7500  0.7500  0.7500  4 Cr 2.77, 4 Rh 2.77
Rh  0.5000  0.5000  0.5000  8 Mg 2.77

## Properties
Total moment   4.38 μB per formula unit
Calculated density   5.1 Mg/m³
Density of states at the Fermi level   1.820 states/eV per cell
Energy of formation from the pure elements   -0.0568 eV per atom


[3]
Computed, not measured: crystalline CaY2Mg2 at its relaxed geometry at the GGA-PBE level of DFT.

abc: 3.7686 5.5565 14.3820
angles: 90.00 97.54 90.00
With the nearest neighbours (Å) after each atom.
Fractional coordinates of all 10 atoms:
Ca  0.8491  0.7500  0.6998  6 Mg 3.37-3.41, 2 Y 3.68, 2 Ca 3.77
Ca  0.1509  0.2500  0.3002  6 Mg 3.37-3.41, 2 Y 3.68, 2 Ca 3.77
Y  0.0440  0.7500  0.0877  8 Mg 3.29-3.36
Y  0.9560  0.2500  0.9123  8 Mg 3.29-3.36
Y  0.2349  0.7500  0.4699  2 Mg 3.31-3.32, 4 Y 3.46, 2 Ca 3.68
Y  0.7651  0.2500  0.5301  2 Mg 3.31-3.32, 4 Y 3.46, 2 Ca 3.68
Mg  0.6398  0.7500  0.2785  4 Y 3.31-3.32, 4 Ca 3.37
Mg  0.3602  0.2500  0.7215  4 Y 3.31-3.32, 4 Ca 3.37
Mg  0.4496  0.7500  0.8988  6 Y 3.29-3.36, 2 Ca 3.40-3.41
Mg  0.5504  0.2500  0.1012  6 Y 3.29-3.36, 2 Ca 3.40-3.41

## Properties
Total moment   0.00 μB per formula unit
Calculated density   3.0 Mg/m³
Density of states at the Fermi level   12.296 states/eV per cell
Energy of formation from the pure elements   -0.0511 eV per atom


[4]
Computed, not measured: crystalline U2Fe5As3 at its relaxed geometry at the GGA-PBE level of DFT.

abc: 4.1285 6.3202 11.8731
angles: 90.00 100.01 90.00
With the nearest neighbours (Å) after each atom.
Fractional coordinates of all 20 atoms:
U  0.4860  0.7326  0.9719  6 Fe 2.83-3.08, 5 As 2.87-2.93
U  0.1764  0.7556  0.3528  8 Fe 2.79-3.10, 4 As 3.00-3.03
U  0.8236  0.2556  0.6472  8 Fe 2.79-3.10, 4 As 3.00-3.03
U  0.5140  0.2326  0.0281  6 Fe 2.83-3.08, 5 As 2.87-2.93
Fe  0.3962  0.4155  0.7923  3 As 2.40-2.55, 1 Fe 2.45
Fe  0.2963  0.5339  0.5926  2 Fe 2.45-2.48, 3 As 2.46-2.50
Fe  0.7037  0.0339  0.4074  2 Fe 2.45-2.48, 3 As 2.46-2.50
Fe  0.1234  0.2426  0.2468  4 As 2.47-2.69, 1 Fe 2.57
Fe  0.2893  0.9249  0.5786  4 As 2.40-2.43, 1 Fe 2.48
Fe  0.9453  0.0608  0.8906  4 As 2.46-2.59, 1 Fe 2.57
Fe  0.7107  0.4249  0.4214  4 As 2.40-2.43, 1 Fe 2.48
Fe  0.8766  0.7426  0.7532  4 As 2.47-2.69, 1 Fe 2.57
Fe  0.0547  0.5608  0.1094  4 As 2.46-2.59, 1 Fe 2.57
Fe  0.6038  0.9155  0.2077  3 As 2.40-2.55, 1 Fe 2.45
As  0.7711  0.7350  0.5421  7 Fe 2.42-2.50
As  0.6108  0.5123  0.2215  4 Fe 2.40-2.55
As  0.0521  0.9516  0.1043  5 Fe 2.40-2.59
As  0.2289  0.2350  0.4579  7 Fe 2.42-2.50
As  0.9479  0.4516  0.8957  5 Fe 2.40-2.59
As  0.3892  0.0123  0.7785  4 Fe 2.40-2.55

## Properties
Total moment   5.18 μB per formula unit
Calculated density   10.7 Mg/m³
Density of states at the Fermi level   22.887 states/eV per cell
Energy of formation from the pure elements   -0.2621 eV per atom


[5]
Computed, not measured: crystalline Te2AsPb at its relaxed geometry at the GGA-PBE level of DFT.

abc: 5.3780 5.3780 5.3780
angles: 60.00 60.00 60.00
With the nearest neighbours (Å) after each atom.
Fractional coordinates of all 4 atoms:
Pb  0.5000  0.5000  0.5000  8 Te 3.29
As  0.0000  0.0000  0.0000  8 Te 3.29
Te  0.2500  0.2500  0.2500  4 As 3.29, 4 Pb 3.29
Te  0.7500  0.7500  0.7500  4 As 3.29, 4 Pb 3.29

## Properties
Total moment   0.00 μB per formula unit
Calculated density   8.1 Mg/m³
Density of states at the Fermi level   2.492 states/eV per cell
E_form (uncorrected)   20.7 kJ per mole of atoms


[6]
Computed, not measured: crystalline AcTm2IrO8 at its relaxed geometry at the GGA-PBE level of DFT.

abc: 5.0402 5.0358 7.0057
angles: 90.00 90.00 89.36
With the nearest neighbours (Å) after each atom.
Fractional coordinates of all 12 atoms:
Ac  0.0000  0.0000  0.5000  6 O 2.34-2.51
Tm  0.5000  0.5000  0.7560  6 O 2.18-2.36
Tm  0.5000  0.5000  0.2440  6 O 2.18-2.36
Ir  0.0000  0.0000  0.0000  6 O 1.93-1.95
O  0.1897  0.8088  0.1972  1 Ir 1.93
O  0.7266  0.7278  0.0000  1 Ir 1.95
O  0.8101  0.1911  0.1972  1 Ir 1.93
O  0.8103  0.1912  0.8028  1 Ir 1.93
O  0.2734  0.2722  0.0000  1 Ir 1.95
O  0.1899  0.8089  0.8028  1 Ir 1.93
O  0.6729  0.6743  0.5000  2 Tm 2.18, 1 Ac 2.34
O  0.3271  0.3257  0.5000  2 Tm 2.18, 1 Ac 2.34

## Properties
Total moment   2.15 μB per formula unit
Calculated density   8.3 Mg/m³
Density of states at the Fermi level   5.368 states/eV per cell
E_form (uncorrected)   -226.9 kJ per mole of atoms


[7]
Computed, not measured: crystalline Cr2IrRh at its relaxed geometry at the GGA-PBE level of DFT.

abc: 5.0781 5.0781 5.0781
angles: 147.89 129.93 60.73
With the nearest neighbours (Å) after each atom.
Fractional coordinates of all 4 atoms:
Cr  0.9737  0.9737  0.0000  2 Cr 2.24
Cr  0.7743  0.2743  0.5000  2 Cr 2.24
Ir  0.5227  0.5227  0.0000  6 Cr 2.60-2.61, 2 Ir 2.81, 2 Rh 2.81
Rh  0.2293  0.7293  0.5000  6 Cr 2.60-2.64, 2 Rh 2.81, 2 Ir 2.81

## Properties
Total moment   0.00 μB per formula unit
Calculated density   12.5 Mg/m³
Density of states at the Fermi level   5.466 states/eV per cell
Energy of formation from the pure elements   0.0446 eV per atom


[8]
Computed, not measured: crystalline TaFeAu2 at its relaxed geometry at the GGA-PBE level of DFT.

abc: 4.9134 4.9134 4.9116
angles: 131.27 131.27 71.41
With the nearest neighbours (Å) after each atom.
Fractional coordinates of all 4 atoms:
Au  0.0000  0.0000  0.0000  4 Ta 2.84, 4 Fe 2.84, 4 Au 2.86-2.87
Au  0.5000  0.5000  0.0000  4 Ta 2.84, 4 Fe 2.84, 4 Au 2.86-2.87
Fe  0.2500  0.7500  0.5000  8 Au 2.84, 4 Ta 2.86-2.87
Ta  0.7500  0.2500  0.5000  8 Au 2.84, 4 Fe 2.86-2.87

## Properties
Total moment   1.80 μB per formula unit
Calculated density   16.0 Mg/m³
Density of states at the Fermi level   3.923 states/eV per cell
Energy of formation from the pure elements   0.1001 eV per atom